## PrGe2MoO8 (PBE with a Hubbard U)

Data for crystalline PrGe2MoO8 at its relaxed geometry.

The structure in POSCAR format:
```
PrGe2MoO8
1.0
-3.534 3.534 3.129
3.534 -3.534 3.129
3.534 3.534 -3.129
Pr Ge Mo O
1 2 1 8
Cartesian
0.000 0.000 0.000
0.000 0.000 3.129
0.000 3.534 1.565
3.534 0.000 1.565
2.142 3.534 -1.113
1.391 0.000 2.016
0.000 2.353 0.243
3.534 2.142 1.113
0.000 4.714 0.243
0.000 1.391 4.243
-1.181 3.534 2.887
1.181 3.534 2.887
```

## Properties
- VASP energy: -83.16 eV/cell
- Volume: 13.02 Å³ per atom
- Mass density: 5.42 g/cm³
- Symmetry: I-4m2 (119)